# BaCrOsO6

A relaxed BaCrOsO6 crystal (GGA+U, Alexandria).

## Properties
E	-7.3331	eV/atom
N(E_F)	2.1	states/eV/cell

a b c (Å): 5.2694 5.2664 5.7092
angles (deg): 89.92 89.96 60.02
Fractional positions:
Ba1 0.0000 0.0000 0.0000
Cr1 0.6668 0.6666 0.5000
Os1 0.3332 0.3334 0.5000
O1 0.0115 0.3895 0.3084
O2 0.3890 0.0110 0.6913
O3 0.5993 0.3888 0.6915
O4 0.0115 0.5990 0.6916
O5 0.3890 0.5999 0.3086
O6 0.5993 0.0119 0.3085

---

# BaCr2P4O14

A relaxed BaCr2P4O14 crystal (GGA+U, Alexandria).

## Properties
E	-7.4769	eV/atom
N(E_F)	0.0	states/eV/cell

a b c (Å): 6.2458 6.2894 7.9532
angles (deg): 96.59 101.48 105.71
Fractional positions:
Ba1 0.0000 0.0000 0.0000
Cr1 0.6256 0.3112 0.7721
Cr2 0.3744 0.6888 0.2279
P1 0.8174 0.5361 0.1937
P2 0.1826 0.4639 0.8063
P3 0.5178 0.7547 0.6653
P4 0.4822 0.2453 0.3347
O1 0.9341 0.3212 0.7309
O2 0.0659 0.6788 0.2691
O3 0.6837 0.6388 0.7616
O4 0.3163 0.3612 0.2384
O5 0.6730 0.6976 0.1635
O6 0.3270 0.3024 0.8365
O7 0.5721 0.9829 0.7831
O8 0.4279 0.0171 0.2169
O9 0.5306 0.7655 0.4792
O10 0.4694 0.2345 0.5208
O11 0.2588 0.6062 0.6597
O12 0.7412 0.3938 0.3403
O13 0.2172 0.6389 0.9690
O14 0.7828 0.3611 0.0310

---

# BaCrP2O8

A relaxed BaCrP2O8 crystal (GGA+U, Alexandria).

## Properties
E	-7.3095	eV/atom

a b c (Å): 4.9181 4.9181 7.7372
angles (deg): 90.00 90.00 120.00
Fractional positions:
Ba1 0.0000 0.0000 0.0000
Cr1 0.0000 0.0000 0.5000
P1 0.6667 0.3333 0.2869
P2 0.3333 0.6667 0.7131
O1 0.3333 0.6667 0.9110
O2 0.3414 0.2758 0.3497
O3 0.7242 0.0656 0.3497
O4 0.6667 0.3333 0.0890
O5 0.2758 0.9344 0.6503
O6 0.6586 0.7242 0.6503
O7 0.0656 0.3414 0.6503
O8 0.9344 0.6586 0.3497

---

# BaCrP2O

A relaxed BaCrP2O crystal (GGA+U, Alexandria).

## Properties
E	-3.6396	eV/atom
relative energy among the computed polymorphs	1819	meV/atom
N(E_F)	2.3	states/eV/cell

a b c (Å): 5.8593 5.8593 4.4318
angles (deg): 90.00 90.00 90.00
Fractional positions:
Cr1 0.5000 0.5000 0.5000
Ba1 0.0000 0.0000 0.0000
O1 0.0000 0.0000 0.5000
P1 0.0000 0.5000 0.0000
P2 0.5000 0.0000 0.0000

---

# BaCrP2O7

A relaxed BaCrP2O7 crystal (GGA+U, Alexandria).

## Properties
E	-7.4493	eV/atom
N(E_F)	0.0	states/eV/cell

a b c (Å): 5.4424 7.5330 7.6858
angles (deg): 103.15 90.88 94.50
Fractional positions:
Ba1 0.7884 0.7239 0.0688
Ba2 0.2116 0.2761 0.9312
Cr1 0.8075 0.8522 0.5983
Cr2 0.1925 0.1478 0.4017
P1 0.2817 0.6827 0.3996
P2 0.7183 0.3173 0.6004
P3 0.2986 0.7654 0.7875
P4 0.7014 0.2346 0.2125
O1 0.5421 0.7776 0.3935
O2 0.4579 0.2224 0.6065
O3 0.2680 0.6241 0.5922
O4 0.7320 0.3759 0.4078
O5 0.2832 0.6516 0.9279
O6 0.7168 0.3484 0.0721
O7 0.2249 0.5106 0.2573
O8 0.7751 0.4894 0.7427
O9 0.9170 0.1098 0.1995
O10 0.0830 0.8902 0.8005
O11 0.4495 0.1238 0.2036
O12 0.5505 0.8762 0.7964
O13 0.9176 0.1779 0.5947
O14 0.0824 0.8221 0.4053

---

# BaCrP2O

A relaxed BaCrP2O crystal (GGA+U, Alexandria).

## Properties
E	-5.4589	eV/atom
relative energy among the computed polymorphs	0	meV/atom
N(E_F)	3.4	states/eV/cell

a b c (Å): 5.3898 5.3898 3.6335
angles (deg): 90.00 90.00 90.00
Fractional positions:
Cr1 0.0000 0.0000 0.0000
Ba1 0.5000 0.5000 0.5000
O1 0.0000 0.0000 0.5000
P1 0.0000 0.5000 0.0000
P2 0.5000 0.0000 0.0000

---

# Ba3PaCr2O9

A relaxed Ba3PaCr2O9 crystal (GGA+U, Alexandria).

## Properties
E	-7.6466	eV/atom
N(E_F)	5.3	states/eV/cell

a b c (Å): 5.8505 5.8505 7.2398
angles (deg): 90.00 90.00 120.00
Fractional positions:
Ba1 0.3333 0.6667 0.6894
Ba2 0.0000 0.0000 0.0000
Ba3 0.6667 0.3333 0.3106
Pa1 0.0000 0.0000 0.5000
Cr1 0.3333 0.6667 0.1545
Cr2 0.6667 0.3333 0.8455
O1 0.8267 0.1733 0.6769
O2 0.8267 0.6534 0.6769
O3 0.3466 0.1733 0.6769
O4 0.6534 0.8267 0.3231
O5 0.1733 0.3466 0.3231
O6 0.1733 0.8267 0.3231
O7 0.5000 0.0000 0.0000
O8 0.0000 0.5000 0.0000
O9 0.5000 0.5000 0.0000

---

# Ba4Pa3CrO12

A relaxed Ba4Pa3CrO12 crystal (GGA+U, Alexandria).

## Properties
E	-8.2114	eV/atom
N(E_F)	11.6	states/eV/cell

a b c (Å): 7.6917 7.6917 7.6917
angles (deg): 109.47 109.47 109.47
Fractional positions:
Ba1 0.5000 0.5000 0.5000
Ba2 0.0000 0.0000 0.5000
Ba3 0.5000 0.0000 0.0000
Ba4 0.0000 0.5000 0.0000
Pa1 0.5000 0.0000 0.5000
Pa2 0.5000 0.5000 0.0000
Pa3 0.0000 0.5000 0.5000
Cr1 0.0000 0.0000 0.0000
O1 0.2500 0.5000 0.7500
O2 0.7376 0.0000 0.7376
O3 0.2624 0.0000 0.2624
O4 0.7500 0.5000 0.2500
O5 0.7376 0.7376 0.0000
O6 0.2624 0.2624 0.0000
O7 0.7500 0.2500 0.5000
O8 0.2500 0.7500 0.5000
O9 0.5000 0.2500 0.7500
O10 0.0000 0.7376 0.7376
O11 0.5000 0.7500 0.2500
O12 0.0000 0.2624 0.2624

---

- Which value of E does entry 3 give?
  -7.3095 eV/atom

---

- The highest E belongs to which entry?
  number 4